Computed, not measured: a geometry-optimized LaPmIrPd structure at the GGA-PBE level of DFT.

Values from the calculation:
Space-group type ... F-43m, No. 216
Energy above the lowest structure with this stoichiometry ... 50 meV per atom
Crystal system ... cubic
Final energy ... -6.654 eV/atom
V ... 23.2 Å³/atom

Unit cell a=5.079 b=5.079 c=5.079 alpha=60.00 beta=60.00 gamma=60.00
Atoms (fractional coordinates):
Pd 0.500 0.500 0.500
Pm 0.750 0.750 0.750
Ir 0.000 0.000 0.000
La 0.250 0.250 0.250


Computed, not measured: a geometry-optimized La8Ir2PdRu structure at the GGA-PBE level of DFT.

Values from the calculation:
Space-group type ... P2/m, No. 10
Crystal system ... monoclinic
Final energy ... -6.468 eV/atom
V ... 33.5 Å³/atom

Unit cell a=6.877 b=6.782 c=8.619 alpha=90.00 beta=90.00 gamma=89.67
Atoms (fractional coordinates):
La 0.332 0.269 0.000
Ir 0.500 0.500 0.250
Ir 0.500 0.500 0.750
Ru 0.000 0.000 0.000
La 0.166 0.767 0.761
La 0.166 0.767 0.239
La 0.834 0.233 0.761
Pd 0.000 0.000 0.500
La 0.834 0.233 0.239
La 0.668 0.731 0.000
La 0.660 0.722 0.500
La 0.340 0.278 0.500


Computed, not measured: a geometry-optimized LaScIrPd structure at the GGA-PBE level of DFT.

Values from the calculation:
Space-group type ... F-43m, No. 216
Crystal system ... cubic
Final energy ... -7.050 eV/atom
V ... 20.8 Å³/atom

Unit cell a=4.902 b=4.902 c=4.902 alpha=60.00 beta=60.00 gamma=60.00
Atoms (fractional coordinates):
La 0.250 0.250 0.250
Ir 0.500 0.500 0.500
Pd 0.000 0.000 0.000
Sc 0.750 0.750 0.750